Compound: YTl
Source: Alexandria
Functional: PBE
Structure: optimized geometry

Cell: 4.9153 4.9153 17.7016 Å, 90.00 90.00 120.00°
Space group R-3m (No. 166, hexagonal axes)
Inequivalent atoms, fractional coordinates:
Y 0.0000 0.0000 0.1023 x6
Tl 0.0000 0.0000 0.2991 x6

For the formation energy, the calculation gives -0.1 eV/f.u.